Record 1
VASP calculation (PBE-GGA) on crystalline Lu2MgTi at its relaxed geometry.

The structure belongs to space group Fm-3m (No. 225); the cell edges are 7.318, 7.318 and 7.318 Å and the angles 90.00°, 90.00° and 90.00°. The asymmetric unit holds Lu at (0.250, 0.250, 0.250), Mg at (0.000, 0.000, 0.000) and Ti at (0.000, 0.000, 0.500).

The calculation puts the total magnetization at 2.32 μB/f.u. Its uncorrected energy is -71.7 eV/cell. The calculation puts the formation energy at 15 kJ/mol of atoms. As for the excess energy over the best structure of this formula in the dataset: 2.56 kcal/mol of atoms.

Record 2
VASP calculation (PBE-GGA) on crystalline AcTbSmTm at its relaxed geometry.

The structure belongs to space group Cm (No. 8); the cell edges are 6.384, 3.683 and 12.076 Å and the angles 90.00°, 100.13° and 90.00°. The asymmetric unit holds Ac at (0.000, 0.000, 0.000), Tb at (0.331, 0.500, 0.492), Sm at (0.244, 0.000, 0.733) and Tm at (0.418, 0.000, 0.256).

The calculation puts the total magnetization at 0.00 μB/f.u. Its uncorrected energy is -35.3 eV/cell. The calculation puts the formation energy at 7 kJ/mol of atoms. As for the excess energy over the best structure of this formula in the dataset: 0.00 kcal/mol of atoms.

Record 3
VASP calculation (PBE-GGA) on crystalline Sc8BeCu2 at its relaxed geometry.

The structure belongs to space group Immm (No. 71); the cell edges are 4.712, 7.750 and 12.194 Å and the angles 90.00°, 90.00° and 90.00°. The asymmetric unit holds Sc at (0.000, 0.000, 0.126), Sc at (0.000, 0.221, 0.345), Sc at (0.000, 0.335, 0.000), Be at (0.000, 0.500, 0.500) and Cu at (0.000, 0.500, 0.208).

The calculation puts the total magnetization at 0.00 μB/f.u. Its uncorrected energy is -124.7 eV/cell. The calculation puts the formation energy at 2 kJ/mol of atoms.

Record 4
VASP calculation (PBE-GGA) on crystalline CaNiH3 at its relaxed geometry.

The structure belongs to space group P6_3/mmc (No. 194); the cell edges are 3.8129, 3.8129 and 7.3415 Å and the angles 90.00°, 90.00° and 120.00°. The asymmetric unit holds Ca at (0.3333, 0.6667, 0.2500), Ni at (0.0000, 0.0000, 0.0000), H at (0.0000, 0.0000, 0.2500) and H at (0.3333, 0.6667, 0.5695).

The calculation puts the total magnetization at 0.31 μB/f.u. Its uncorrected energy is -35.9 eV/cell.

Record 5
VASP calculation (PBE-GGA) on crystalline Gd2TeBr at its relaxed geometry.

The structure belongs to space group Fm-3m (No. 225); the cell edges are 7.497, 7.497 and 7.497 Å and the angles 90.00°, 90.00° and 90.00°. The asymmetric unit holds Gd at (0.250, 0.250, 0.250), Te at (0.000, 0.000, 0.000) and Br at (0.000, 0.000, 0.500).

The calculation puts the total magnetization at 14.81 μB/f.u. Its uncorrected energy is -150.1 eV/cell. As for the excess energy over the best structure of this formula in the dataset: 0.83 kcal/mol of atoms. The uncorrected formation energy comes out at -4.6 eV per formula unit.

Record 6
VASP calculation (PBE-GGA) on crystalline MnFe2Si at its relaxed geometry.

The structure belongs to space group Pm (No. 6); the cell edges are 2.555, 3.960 and 4.627 Å and the angles 90.00°, 98.93° and 90.00°. The asymmetric unit holds Mn at (0.000, 0.000, 0.000), Fe at (0.231, 0.500, 0.712), Fe at (0.529, 0.000, 0.499) and Si at (0.618, 0.500, 0.219).

The calculation puts the total magnetization at 6.10 μB/f.u. Its uncorrected energy is -32.0 eV/cell. The uncorrected formation energy comes out at -0.5 eV per formula unit.